No. 1
First-principles (GGA-PBE) data for a geometry-optimized BaCr structure, as listed in Alexandria via LeMat-Bulk.

Computed properties:
DFT formation energy: 1.0584 eV/atom

a = 5.4985 Å, b = 5.4985 Å, c = 5.4985 Å
α = 46.50°, β = 46.50°, γ = 46.50°
With the nearest neighbours (Å) after each atom.
Atoms (fractional coordinates):
Ba  0.0000  0.0000  0.0000  6 Cr 3.50
Cr  0.5000  0.5000  0.5000  6 Ba 3.50



No. 2
First-principles (GGA-PBE) data for a geometry-optimized BaCr2 structure, as listed in Alexandria via LeMat-Bulk.

Computed properties:
E above lowest polymorph: 153 kJ/mol of formula units
DFT formation energy: 1.1011 eV/atom

a = 3.7922 Å, b = 3.7922 Å, c = 5.6260 Å
α = 90.00°, β = 90.00°, γ = 120.00°
With the nearest neighbours (Å) after each atom.
Atoms (fractional coordinates):
Ba  0.0000  0.0000  0.0000  12 Cr 3.56, 6 Ba 3.79
Cr  0.6667  0.3333  0.5000  3 Cr 2.19
Cr  0.3333  0.6667  0.5000  3 Cr 2.19



No. 3
First-principles (GGA-PBE) data for a geometry-optimized BaCr structure, as listed in Alexandria via LeMat-Bulk.

Computed properties:
DFT formation energy: 0.7317 eV/atom

a = 11.3433 Å, b = 11.3433 Å, c = 4.3353 Å
α = 90.00°, β = 90.00°, γ = 90.00°
With the nearest neighbours (Å) after each atom.
Atoms (fractional coordinates):
Ba  0.2105  0.8931  0.0000  4 Cr 3.35-3.71
Ba  0.7895  0.1069  0.0000  4 Cr 3.35-3.71
Ba  0.1069  0.2105  0.0000  4 Cr 3.35-3.71
Ba  0.8931  0.7895  0.0000  4 Cr 3.35-3.71
Ba  0.7105  0.3931  0.5000  4 Cr 3.35-3.71
Ba  0.2895  0.6069  0.5000  4 Cr 3.35-3.71
Ba  0.6069  0.7105  0.5000  4 Cr 3.35-3.71
Ba  0.3931  0.2895  0.5000  4 Cr 3.35-3.71
Cr  0.4781  0.0815  0.0000  1 Cr 1.92
Cr  0.5219  0.9185  0.0000  1 Cr 1.92
Cr  0.9185  0.4781  0.0000  1 Cr 1.92
Cr  0.0815  0.5219  0.0000  1 Cr 1.92
Cr  0.9781  0.5815  0.5000  1 Cr 1.92
Cr  0.0219  0.4185  0.5000  1 Cr 1.92
Cr  0.4185  0.9781  0.5000  1 Cr 1.92
Cr  0.5815  0.0219  0.5000  1 Cr 1.92



No. 4
First-principles (GGA-PBE) data for a geometry-optimized Ba3Cr structure, as listed in Alexandria via LeMat-Bulk.

Computed properties:
DFT formation energy: 0.5243 eV/atom

a = 8.1789 Å, b = 8.1789 Å, c = 13.0720 Å
α = 90.00°, β = 90.00°, γ = 120.00°
With the nearest neighbours (Å) after each atom.
Atoms (fractional coordinates):
Cr  0.0000  0.0000  0.0000  12 Ba 3.97-4.09
Cr  0.0000  0.0000  0.5000  12 Ba 3.97-4.09
Cr  0.3333  0.6667  0.2500  12 Ba 4.03-4.09
Cr  0.6667  0.3333  0.7500  12 Ba 4.03-4.09
Ba  0.5000  0.0000  0.0000  4 Cr 4.03-4.09, 8 Ba 4.07-4.09
Ba  0.5000  0.0000  0.5000  4 Cr 4.03-4.09, 8 Ba 4.07-4.09
Ba  0.0000  0.5000  0.0000  4 Cr 4.03-4.09, 8 Ba 4.07-4.09
Ba  0.5000  0.5000  0.0000  4 Cr 4.03-4.09, 8 Ba 4.07-4.09
Ba  0.5000  0.5000  0.5000  4 Cr 4.03-4.09, 8 Ba 4.07-4.09
Ba  0.0000  0.5000  0.5000  4 Cr 4.03-4.09, 8 Ba 4.07-4.09
Ba  0.8411  0.6822  0.2500  8 Ba 3.90-4.28, 4 Cr 3.97-4.09
Ba  0.1589  0.3178  0.7500  8 Ba 3.90-4.28, 4 Cr 3.97-4.09
Ba  0.3178  0.1589  0.2500  8 Ba 3.90-4.28, 4 Cr 3.97-4.09
Ba  0.8411  0.1589  0.2500  8 Ba 3.90-4.28, 4 Cr 3.97-4.09
Ba  0.1589  0.8411  0.7500  8 Ba 3.90-4.28, 4 Cr 3.97-4.09
Ba  0.6822  0.8411  0.7500  8 Ba 3.90-4.28, 4 Cr 3.97-4.09



No. 5
First-principles (GGA-PBE) data for a geometry-optimized Ba3Cr structure, as listed in Alexandria via LeMat-Bulk.

Computed properties:
DFT formation energy: 0.5926 eV/atom

a = 7.4368 Å, b = 7.4368 Å, c = 7.4368 Å
α = 116.59°, β = 116.59°, γ = 116.59°
With the nearest neighbours (Å) after each atom.
Atoms (fractional coordinates):
Ba  0.0000  0.0000  0.0000  6 Ba 3.91-4.17, 2 Cr 3.91
Ba  0.5000  0.0000  0.5000  6 Ba 3.91-4.17, 2 Cr 3.91
Ba  0.5000  0.5000  0.0000  2 Cr 3.91, 6 Ba 3.91-4.17
Cr  0.0000  0.5000  0.5000  6 Ba 3.91, 2 Cr 4.17



No. 6
First-principles (GGA-PBE) data for a geometry-optimized Ba3Cr structure, as listed in Alexandria via LeMat-Bulk.

Computed properties:
DFT formation energy: 0.4179 eV/atom

a = 4.2855 Å, b = 4.2855 Å, c = 10.8257 Å
α = 90.00°, β = 90.00°, γ = 90.00°
With the nearest neighbours (Å) after each atom.
Atoms (fractional coordinates):
Ba  0.0000  0.0000  0.0647  4 Cr 3.63, 1 Ba 4.01
Ba  0.5000  0.5000  0.7500  12 Ba 4.29-4.56
Ba  0.0000  0.0000  0.4353  4 Cr 3.63, 1 Ba 4.01
Cr  0.5000  0.5000  0.2500  8 Ba 3.63